Record 1
Here is a PBEsol-optimized structure of ScIr3C from Alexandria via LeMat-Bulk. Energies are from SCAN.

## Properties
formation energy from the elements	-0.222	eV per atom
magnetic moment	0.00	μB per atom

The structure in CIF format:
```
data_ScIr3C
_chemical_formula_sum 'Sc1 Ir3 C1'
_space_group_name_H-M_alt 'P m -3 m'
_space_group_IT_number 221
_space_group_name_Hall '-P 4 2 3'
_cell_length_a 4.095
_cell_length_b 4.095
_cell_length_c 4.095
_cell_angle_alpha 90.00
_cell_angle_beta 90.00
_cell_angle_gamma 90.00
loop_
_atom_site_label
_atom_site_type_symbol
_atom_site_fract_x
_atom_site_fract_y
_atom_site_fract_z
_atom_site_occupancy
Sc1 Sc 0.000 0.000 0.000 1
Ir1 Ir 0.000 0.500 0.500 1
C1 C 0.500 0.500 0.500 1
```

---

Record 2
Here is a PBEsol-optimized structure of Ir2CSe from Alexandria via LeMat-Bulk. Energies are from SCAN.

## Properties
ΔE_f (raw)	384	meV/atom
magnetic moment	0.00	μB per atom

The structure in CIF format:
```
data_Ir2CSe
_chemical_formula_sum 'Ir8 C4 Se4'
_space_group_name_H-M_alt 'I -4 2 d'
_space_group_IT_number 122
_space_group_name_Hall 'I -4 2bw'
_cell_length_a 4.939
_cell_length_b 4.939
_cell_length_c 10.345
_cell_angle_alpha 90.00
_cell_angle_beta 90.00
_cell_angle_gamma 90.00
loop_
_atom_site_label
_atom_site_type_symbol
_atom_site_fract_x
_atom_site_fract_y
_atom_site_fract_z
_atom_site_occupancy
Ir1 Ir 0.170 0.250 0.125 1
C1 C 0.000 0.000 0.000 1
Se1 Se 0.000 0.000 0.500 1
```

---

Record 3
Here is a PBEsol-optimized structure of SiIr2C2 from Alexandria via LeMat-Bulk. Energies are from SCAN.

## Properties
ΔE_f (raw)	1414	meV/atom
magnetic moment	0.00	μB per atom

The structure in CIF format:
```
data_SiIr2C2
_chemical_formula_sum 'Si2 Ir4 C4'
_space_group_name_H-M_alt 'P 4/m b m'
_space_group_IT_number 127
_space_group_name_Hall '-P 4 2ab'
_cell_length_a 6.526
_cell_length_b 6.526
_cell_length_c 2.663
_cell_angle_alpha 90.00
_cell_angle_beta 90.00
_cell_angle_gamma 90.00
loop_
_atom_site_label
_atom_site_type_symbol
_atom_site_fract_x
_atom_site_fract_y
_atom_site_fract_z
_atom_site_occupancy
Si1 Si 0.000 0.000 0.000 1
Ir1 Ir 0.163 0.337 0.000 1
C1 C 0.164 0.664 0.500 1
```

---

Record 4
Here is a PBEsol-optimized structure of Sr2IrC from Alexandria via LeMat-Bulk. Energies are from SCAN.

## Properties
formation energy from the elements	-0.266	eV per atom
magnetic moment	0.00	μB per atom

The structure in CIF format:
```
data_Sr2IrC
_chemical_formula_sum 'Sr8 Ir4 C4'
_space_group_name_H-M_alt 'I -4 2 d'
_space_group_IT_number 122
_space_group_name_Hall 'I -4 2bw'
_cell_length_a 10.649
_cell_length_b 10.649
_cell_length_c 3.862
_cell_angle_alpha 90.00
_cell_angle_beta 90.00
_cell_angle_gamma 90.00
loop_
_atom_site_label
_atom_site_type_symbol
_atom_site_fract_x
_atom_site_fract_y
_atom_site_fract_z
_atom_site_occupancy
Sr1 Sr 0.050 0.250 0.125 1
Ir1 Ir 0.000 0.000 0.500 1
C1 C 0.000 0.000 0.000 1
```

---

Record 5
Here is a PBEsol-optimized structure of TaIrC2 from Alexandria via LeMat-Bulk. Energies are from SCAN.

## Properties
formation energy from the elements	0.356	eV per atom
magnetic moment	0.00	μB per atom

The structure in CIF format:
```
data_TaIrC2
_chemical_formula_sum 'Ta4 Ir4 C8'
_space_group_name_H-M_alt 'I -4 2 d'
_space_group_IT_number 122
_space_group_name_Hall 'I -4 2bw'
_cell_length_a 4.555
_cell_length_b 4.555
_cell_length_c 9.956
_cell_angle_alpha 90.00
_cell_angle_beta 90.00
_cell_angle_gamma 90.00
loop_
_atom_site_label
_atom_site_type_symbol
_atom_site_fract_x
_atom_site_fract_y
_atom_site_fract_z
_atom_site_occupancy
Ta1 Ta 0.000 0.000 0.000 1
Ir1 Ir 0.000 0.000 0.500 1
C1 C 0.231 0.250 0.625 1
```

---

Record 6
Here is a PBEsol-optimized structure of Tc3IrC from Alexandria via LeMat-Bulk. Energies are from SCAN.

## Properties
formation energy from the elements	2.990	eV per atom
magnetic moment	0.45	μB per atom

The structure in CIF format:
```
data_Tc3IrC
_chemical_formula_sum 'Tc3 Ir1 C1'
_space_group_name_H-M_alt 'P m -3 m'
_space_group_IT_number 221
_space_group_name_Hall '-P 4 2 3'
_cell_length_a 4.622
_cell_length_b 4.622
_cell_length_c 4.622
_cell_angle_alpha 90.00
_cell_angle_beta 90.00
_cell_angle_gamma 90.00
loop_
_atom_site_label
_atom_site_type_symbol
_atom_site_fract_x
_atom_site_fract_y
_atom_site_fract_z
_atom_site_occupancy
Tc1 Tc 0.000 0.000 0.500 1
Ir1 Ir 0.000 0.000 0.000 1
C1 C 0.500 0.500 0.500 1
```

---

Record 7
Here is a PBEsol-optimized structure of TcIrC3 from Alexandria via LeMat-Bulk. Energies are from SCAN.

## Properties
formation energy from the elements	2.376	eV per atom
magnetic moment	0.36	μB per atom

The structure in CIF format:
```
data_TcIrC3
_chemical_formula_sum 'Tc1 Ir1 C3'
_space_group_name_H-M_alt 'P m -3 m'
_space_group_IT_number 221
_space_group_name_Hall '-P 4 2 3'
_cell_length_a 3.906
_cell_length_b 3.906
_cell_length_c 3.906
_cell_angle_alpha 90.00
_cell_angle_beta 90.00
_cell_angle_gamma 90.00
loop_
_atom_site_label
_atom_site_type_symbol
_atom_site_fract_x
_atom_site_fract_y
_atom_site_fract_z
_atom_site_occupancy
Tc1 Tc 0.000 0.000 0.000 1
Ir1 Ir 0.500 0.500 0.500 1
C1 C 0.000 0.500 0.500 1
```

---

Record 8
Here is a PBEsol-optimized structure of TeIr2C from Alexandria via LeMat-Bulk. Energies are from SCAN.

## Properties
ΔE_f (raw)	1588	meV/atom
magnetic moment	0.31	μB per atom

The structure in CIF format:
```
data_TeIr2C
_chemical_formula_sum 'Te4 Ir8 C4'
_space_group_name_H-M_alt 'F m -3 m'
_space_group_IT_number 225
_space_group_name_Hall '-F 4 2 3'
_cell_length_a 6.131
_cell_length_b 6.131
_cell_length_c 6.131
_cell_angle_alpha 90.00
_cell_angle_beta 90.00
_cell_angle_gamma 90.00
loop_
_atom_site_label
_atom_site_type_symbol
_atom_site_fract_x
_atom_site_fract_y
_atom_site_fract_z
_atom_site_occupancy
Te1 Te 0.000 0.000 0.000 1
Ir1 Ir 0.250 0.250 0.250 1
C1 C 0.000 0.000 0.500 1
```

---

Record 9
Here is a PBEsol-optimized structure of TeIrC3 from Alexandria via LeMat-Bulk. Energies are from SCAN.

## Properties
ΔE_f (raw)	3472	meV/atom
magnetic moment	0.00	μB per atom

The structure in CIF format:
```
data_TeIrC3
_chemical_formula_sum 'Te1 Ir1 C3'
_space_group_name_H-M_alt 'P m -3 m'
_space_group_IT_number 221
_space_group_name_Hall '-P 4 2 3'
_cell_length_a 4.051
_cell_length_b 4.051
_cell_length_c 4.051
_cell_angle_alpha 90.00
_cell_angle_beta 90.00
_cell_angle_gamma 90.00
loop_
_atom_site_label
_atom_site_type_symbol
_atom_site_fract_x
_atom_site_fract_y
_atom_site_fract_z
_atom_site_occupancy
Te1 Te 0.000 0.000 0.000 1
Ir1 Ir 0.500 0.500 0.500 1
C1 C 0.000 0.000 0.500 1
```

---

Record 10
Here is a PBEsol-optimized structure of TlIrC3 from Alexandria via LeMat-Bulk. Energies are from SCAN.

## Properties
formation energy from the elements	4.190	eV per atom
magnetic moment	0.00	μB per atom

The structure in CIF format:
```
data_TlIrC3
_chemical_formula_sum 'Tl1 Ir1 C3'
_space_group_name_H-M_alt 'P m -3 m'
_space_group_IT_number 221
_space_group_name_Hall '-P 4 2 3'
_cell_length_a 4.189
_cell_length_b 4.189
_cell_length_c 4.189
_cell_angle_alpha 90.00
_cell_angle_beta 90.00
_cell_angle_gamma 90.00
loop_
_atom_site_label
_atom_site_type_symbol
_atom_site_fract_x
_atom_site_fract_y
_atom_site_fract_z
_atom_site_occupancy
Tl1 Tl 0.000 0.000 0.000 1
Ir1 Ir 0.500 0.500 0.500 1
C1 C 0.000 0.000 0.500 1
```

---

Record 11
Here is a PBEsol-optimized structure of U2IrC2 from Alexandria via LeMat-Bulk. Energies are from SCAN.

## Properties
formation energy from the elements	-0.278	eV per atom
magnetic moment	0.39	μB per atom

The structure in CIF format:
```
data_U2IrC2
_chemical_formula_sum 'U4 Ir2 C4'
_space_group_name_H-M_alt 'I 4/m m m'
_space_group_IT_number 139
_space_group_name_Hall '-I 4 2'
_cell_length_a 3.434
_cell_length_b 3.434
_cell_length_c 12.295
_cell_angle_alpha 90.00
_cell_angle_beta 90.00
_cell_angle_gamma 90.00
loop_
_atom_site_label
_atom_site_type_symbol
_atom_site_fract_x
_atom_site_fract_y
_atom_site_fract_z
_atom_site_occupancy
U1 U 0.000 0.000 0.145 1
Ir1 Ir 0.000 0.000 0.500 1
C1 C 0.000 0.000 0.329 1
```

---

Record 12
Here is a PBEsol-optimized structure of ZnIr2WC from Alexandria via LeMat-Bulk. Energies are from SCAN.

## Properties
formation energy from the elements	1.822	eV per atom
magnetic moment	0.00	μB per atom

The structure in CIF format:
```
data_ZnIr2WC
_chemical_formula_sum 'Zn1 Ir2 W1 C1'
_space_group_name_H-M_alt 'P 4/m m m'
_space_group_IT_number 123
_space_group_name_Hall '-P 4 2'
_cell_length_a 4.755
_cell_length_b 4.755
_cell_length_c 3.965
_cell_angle_alpha 90.00
_cell_angle_beta 90.00
_cell_angle_gamma 90.00
loop_
_atom_site_label
_atom_site_type_symbol
_atom_site_fract_x
_atom_site_fract_y
_atom_site_fract_z
_atom_site_occupancy
Zn1 Zn 0.000 0.000 0.000 1
Ir1 Ir 0.000 0.500 0.500 1
W1 W 0.500 0.500 0.500 1
C1 C 0.500 0.500 0.000 1
```

---

Question: Among the records above, which one has the highest magnetic moment?
Answer: Tc3IrC